First-principles (PBE) data for a relaxed Y2ScCr crystal, as listed in Alexandria via LeMat-Bulk.

The structure belongs to space group R3m (No. 160, hexagonal axes); the cell edges are 3.4118, 3.4118 and 30.8929 Å and the angles 90.00°, 90.00° and 120.00°. The distinct sites, in fractional coordinates, are Y at (0.0000, 0.0000, 0.0000), Y at (0.0000, 0.0000, 0.2347), Sc at (0.0000, 0.0000, 0.4759) and Cr at (0.0000, 0.0000, 0.7415).

For the relative energy among the computed polymorphs, the calculation gives 16.7 kJ per mole of atoms.